# 1
DFT (PBE) results for a geometry-optimized SiB structure.

Crystal system: cubic
Formation energy (no corrections) (eV per atom): 0.58
Relative energy among the computed polymorphs (eV per atom): 0.379
Calculated volume (A^3/atom): 15.858

CIF file:
```
data_SiB
_space_group_name_H-M_alt 'P m -3 n'
_space_group_IT_number 223
_space_group_name_Hall '-P 4n 2 3'
_cell_length_a 5.752
_cell_length_b 5.752
_cell_length_c 5.752
_cell_angle_alpha 90.00
_cell_angle_beta 90.00
_cell_angle_gamma 90.00
loop_
_atom_site_label
_atom_site_type_symbol
_atom_site_fract_x
_atom_site_fract_y
_atom_site_fract_z
Si1 Si 0.000 0.250 0.500
B1 B 0.000 0.500 0.250
```



# 2
DFT (PBE) results for a geometry-optimized SrHgOs2 structure.

Crystal system: monoclinic
Calculated volume (A^3/atom): 19.082
Electronic total energy (eV/atom): -5.10

CIF file:
```
data_SrHgOs2
_space_group_name_H-M_alt 'C 1 2/m 1'
_space_group_IT_number 12
_space_group_name_Hall '-C 2y'
_cell_length_a 5.842
_cell_length_b 10.182
_cell_length_c 2.883
_cell_angle_alpha 90.00
_cell_angle_beta 117.12
_cell_angle_gamma 90.00
loop_
_atom_site_label
_atom_site_type_symbol
_atom_site_fract_x
_atom_site_fract_y
_atom_site_fract_z
Sr1 Sr 0.000 0.000 0.000
Hg1 Hg 0.000 0.500 0.000
Os1 Os 0.250 0.250 0.500
```



# 3
DFT (PBE) results for a geometry-optimized Ac2TaS2O4 structure.

Crystal system: tetragonal
Formation energy (no corrections) (eV per atom): -2.27
Calculated volume (A^3/atom): 17.265

CIF file:
```
data_Ac2TaS2O4
_space_group_name_H-M_alt 'I 4/m m m'
_space_group_IT_number 139
_space_group_name_Hall '-I 4 2'
_cell_length_a 6.136
_cell_length_b 6.136
_cell_length_c 8.253
_cell_angle_alpha 90.00
_cell_angle_beta 90.00
_cell_angle_gamma 90.00
loop_
_atom_site_label
_atom_site_type_symbol
_atom_site_fract_x
_atom_site_fract_y
_atom_site_fract_z
Ac1 Ac 0.000 0.500 0.250
Ta1 Ta 0.000 0.000 0.000
S1 S 0.000 0.000 0.296
O1 O 0.226 0.226 0.000
```



# 4
DFT (PBE) results for a geometry-optimized MgBePdSe2 structure.

Crystal system: tetragonal
Formation energy (no corrections) (eV per atom): -0.09
Calculated volume (A^3/atom): 18.780

CIF file:
```
data_MgBePdSe2
_space_group_name_H-M_alt 'P 4/m m m'
_space_group_IT_number 123
_space_group_name_Hall '-P 4 2'
_cell_length_a 4.693
_cell_length_b 4.693
_cell_length_c 4.264
_cell_angle_alpha 90.00
_cell_angle_beta 90.00
_cell_angle_gamma 90.00
loop_
_atom_site_label
_atom_site_type_symbol
_atom_site_fract_x
_atom_site_fract_y
_atom_site_fract_z
Mg1 Mg 0.000 0.000 0.000
Be1 Be 0.500 0.500 0.500
Pd1 Pd 0.500 0.500 0.000
Se1 Se 0.000 0.500 0.500
```